# AlRh

AlRh after structural relaxation (PBE-GGA, Alexandria via LeMat-Bulk).

```
AlRh
1.0
-2.844 1.926 -8.162
0.014 -2.861 -0.680
-5.870 -0.686 2.765
Rh Al
6 6
Direct
0.227 0.500 0.003
0.335 0.000 0.388
0.504 0.000 0.024
0.662 0.000 0.643
0.832 0.000 0.279
0.940 0.500 0.664
0.992 0.000 0.981
0.083 0.500 0.333
0.174 0.000 0.686
0.438 0.500 0.701
0.583 0.500 0.333
0.729 0.500 0.966
```

Computed properties:
ΔE_f = -0.81 eV per atom
Size of the total moment = 0.00 μB per cell
VASP energy = -12.72 eV per formula unit